Computed, not measured: a relaxed structure of MnBF2 at the GGA+U level of DFT.

Values from the calculation:
Space-group type = Fm-3m, No. 225
Mass density = 3.63 g cm⁻³
Calculated volume = 47.4 Å³ per cell
Total magnetic moment = 5.3 μB per formula unit
Total energy = -4.749 eV per atom

Unit cell a=4.064 b=4.064 c=4.064 alpha=60.00 beta=60.00 gamma=60.00
Positions (direct):
1 Mn 0.000 0.000 0.000
2 B 0.500 0.500 0.500
3 F 0.250 0.250 0.250
4 F 0.750 0.750 0.750